# 1
The following is a DFT calculation (SCAN) of a crystal of NbHgB2H relaxed with PBEsol.

a b c (Å): 3.9723 3.9723 3.4439
angles (deg): 90.00 90.00 90.00
Space group P4/mmm (No. 123)
One atom of each set of equivalent atoms:
Nb (0.0000, 0.0000, 0.0000) (multiplicity 1)
Hg (0.5000, 0.5000, 0.0000) (multiplicity 1)
B (0.0000, 0.5000, 0.5000) (multiplicity 2)
H (0.0000, 0.0000, 0.5000) (multiplicity 1)

The total magnetization is 0.000 μB/f.u. The crystal system is tetragonal. Its total energy is -22.864 eV/atom.

=====

# 2
The following is a DFT calculation (SCAN) of a crystal of HgBHS relaxed with PBEsol.

a b c (Å): 3.0561 3.0561 23.2955
angles (deg): 90.00 90.00 120.00
Space group R3m (No. 160, hexagonal axes)
One atom of each set of equivalent atoms:
Hg (0.0000, 0.0000, 0.0000) (multiplicity 3)
B (0.0000, 0.0000, 0.4937) (multiplicity 3)
H (0.0000, 0.0000, 0.4417) (multiplicity 3)
S (0.0000, 0.0000, 0.1945) (multiplicity 3)

The total magnetization is 0.000 μB/f.u. The crystal system is trigonal. Its total energy is -22.438 eV/atom.

=====

DOS(E_F), record by record: 2.18, 0.44 states/eV/cell